1.
First-principles (GGA-PBE) data for a relaxed FeTe2IN crystal, as listed in Alexandria.

Summary:
Space-group type ... P4/mmm
Density of states at the Fermi level ... 2.37 states/eV/cell
Excess energy over the best structure of this formula in the dataset ... 0.000 eV/atom
Uncorrected energy ... -22.59 eV per formula unit
Size of the total moment ... 0.00 μB/f.u.

CIF file:
```
data_FeTe2IN
_symmetry_space_group_name_H-M 'P 1'
_symmetry_Int_Tables_number 1
_cell_length_a 5.584
_cell_length_b 5.584
_cell_length_c 3.457
_cell_angle_alpha 90.00
_cell_angle_beta 90.00
_cell_angle_gamma 90.00
loop_
_symmetry_equiv_pos_as_xyz
'x,y,z'
loop_
_atom_site_label
_atom_site_type_symbol
_atom_site_fract_x
_atom_site_fract_y
_atom_site_fract_z
Fe1 Fe 0.000 0.000 0.000
Te1 Te 0.000 0.500 0.000
Te2 Te 0.500 0.000 0.000
I1 I 0.500 0.500 0.500
N1 N 0.000 0.000 0.500
```



2.
First-principles (GGA-PBE) data for a relaxed CrCo2Se crystal, as listed in Alexandria.

Summary:
Space-group type ... R-3m
Density of states at the Fermi level ... 12.48 states/eV/cell
Uncorrected energy ... -25.80 eV per formula unit
Size of the total moment ... 3.18 μB/f.u.

CIF file:
```
data_CrCo2Se
_symmetry_space_group_name_H-M 'P 1'
_symmetry_Int_Tables_number 1
_cell_length_a 2.770
_cell_length_b 2.770
_cell_length_c 23.136
_cell_angle_alpha 90.00
_cell_angle_beta 90.00
_cell_angle_gamma 120.00
loop_
_symmetry_equiv_pos_as_xyz
'x,y,z'
loop_
_atom_site_label
_atom_site_type_symbol
_atom_site_fract_x
_atom_site_fract_y
_atom_site_fract_z
Cr1 Cr 0.000 0.000 0.000
Cr2 Cr 0.333 0.667 0.667
Cr3 Cr 0.667 0.333 0.333
Co1 Co 0.000 0.000 0.253
Co2 Co 0.000 0.000 0.747
Co3 Co 0.333 0.667 0.414
Co4 Co 0.333 0.667 0.919
Co5 Co 0.667 0.333 0.081
Co6 Co 0.667 0.333 0.586
Se1 Se 0.000 0.000 0.500
Se2 Se 0.333 0.667 0.167
Se3 Se 0.667 0.333 0.833
```



3.
First-principles (GGA-PBE) data for a relaxed Th3TlTc crystal, as listed in Alexandria.

Summary:
Space-group type ... Pm-3m
Density of states at the Fermi level ... 5.63 states/eV/cell
Energy relative to the elements ... -0.008 eV/atom
Excess energy over the best structure of this formula in the dataset ... 0.126 eV/atom
Uncorrected energy ... -35.03 eV per formula unit
Size of the total moment ... 0.00 μB/f.u.

CIF file:
```
data_Th3TlTc
_symmetry_space_group_name_H-M 'P 1'
_symmetry_Int_Tables_number 1
_cell_length_a 5.422
_cell_length_b 5.422
_cell_length_c 5.422
_cell_angle_alpha 90.00
_cell_angle_beta 90.00
_cell_angle_gamma 90.00
loop_
_symmetry_equiv_pos_as_xyz
'x,y,z'
loop_
_atom_site_label
_atom_site_type_symbol
_atom_site_fract_x
_atom_site_fract_y
_atom_site_fract_z
Th1 Th 0.000 0.000 0.500
Th2 Th 0.000 0.500 0.000
Th3 Th 0.500 0.000 0.000
Tl1 Tl 0.500 0.500 0.500
Tc1 Tc 0.000 0.000 0.000
```



4.
First-principles (GGA-PBE) data for a relaxed CaPb3F crystal, as listed in Alexandria.

Summary:
Space-group type ... Pm-3m
Density of states at the Fermi level ... 6.01 states/eV/cell
Excess energy over the best structure of this formula in the dataset ... 1.026 eV/atom
Uncorrected energy ... -13.41 eV per formula unit
Size of the total moment ... 0.00 μB/f.u.

CIF file:
```
data_CaPb3F
_symmetry_space_group_name_H-M 'P 1'
_symmetry_Int_Tables_number 1
_cell_length_a 5.962
_cell_length_b 5.962
_cell_length_c 5.962
_cell_angle_alpha 90.00
_cell_angle_beta 90.00
_cell_angle_gamma 90.00
loop_
_symmetry_equiv_pos_as_xyz
'x,y,z'
loop_
_atom_site_label
_atom_site_type_symbol
_atom_site_fract_x
_atom_site_fract_y
_atom_site_fract_z
Ca1 Ca 0.000 0.000 0.000
Pb1 Pb 0.000 0.000 0.500
Pb2 Pb 0.000 0.500 0.000
Pb3 Pb 0.500 0.000 0.000
F1 F 0.500 0.500 0.500
```